# RbMnTe4

A geometry-optimized RbMnTe4 structure (PBE, Alexandria).

The value obtained for the uncorrected formation energy is -0.219 eV/atom. The calculation puts the mass density at 5.06 g cm⁻³. As for the volume: 853.5 Å³ per cell. Its density of states at the Fermi level is 0.841 states/eV/f.u. The magnetization comes out at 0.00 μB per formula unit.

The space group is C2/m (No. 12) and the conventional cell measures 15.573, 8.086 and 6.861 Å, with angles of 90.00, 98.96 and 90.00 degrees. The distinct sites, in fractional coordinates, are Rb at (0.190, 0.000, 0.166), Mn at (0.011, 0.500, 0.306), Te at (0.000, 0.304, 0.000), Te at (0.092, 0.285, 0.549) and Te at (0.189, 0.500, 0.281).

***

# RbMn2Te2

A geometry-optimized RbMn2Te2 structure (PBE, Alexandria).

The value obtained for the uncorrected formation energy is -0.338 eV/atom. The calculation puts the mass density at 4.84 g cm⁻³. As for the volume: 309.1 Å³ per cell. Its density of states at the Fermi level is 2.184 states/eV/f.u. The magnetization comes out at 9.00 μB per formula unit.

The space group is I4/mmm (No. 139) and the conventional cell measures 4.482, 4.482 and 15.388 Å, with angles of 90.00, 90.00 and 90.00 degrees. The distinct sites, in fractional coordinates, are Rb at (0.000, 0.000, 0.000), Mn at (0.000, 0.500, 0.250) and Te at (0.000, 0.000, 0.357).

***

# RbMn3Te

A geometry-optimized RbMn3Te structure (PBE, Alexandria).

The value obtained for the uncorrected formation energy is 2.101 eV/atom. The calculation puts the mass density at 4.60 g cm⁻³. The value obtained for the offset from the most stable computed form is 108.11 kJ per mole of atoms. As for the volume: 136.4 Å³ per cell. Its density of states at the Fermi level is 4.491 states/eV/f.u. The magnetization comes out at 12.05 μB per formula unit.

The space group is Pm-3m (No. 221) and the conventional cell measures 5.148, 5.148 and 5.148 Å, with angles of 90.00, 90.00 and 90.00 degrees. The distinct sites, in fractional coordinates, are Rb at (0.000, 0.000, 0.000), Mn at (0.000, 0.000, 0.500) and Te at (0.500, 0.500, 0.500).